# 1
An optimized crystal structure of LiHfSnIr. Source: the Open Quantum Materials Database, functional PBE-GGA.

a = 4.5605 Å, b = 4.5605 Å, c = 4.5605 Å
α = 60.00°, β = 60.00°, γ = 60.00°
With the nearest neighbours (Å) after each atom.
Element x y z (fractional)
Li 0.0000 0.0000 0.0000  4 Hf 2.79, 4 Sn 2.79
Hf 0.2500 0.2500 0.2500  4 Ir 2.79, 4 Li 2.79
Sn 0.7500 0.7500 0.7500  4 Ir 2.79, 4 Li 2.79
Ir 0.5000 0.5000 0.5000  4 Hf 2.79, 4 Sn 2.79

Results
M_tot: 0.00 μB per atom
VASP energy: -27.70 eV/f.u.


# 2
An optimized crystal structure of LiHfSnIr. Source: the Open Quantum Materials Database, functional PBE-GGA.

a = 4.5850 Å, b = 4.5850 Å, c = 4.5850 Å
α = 60.00°, β = 60.00°, γ = 60.00°
With the nearest neighbours (Å) after each atom.
Element x y z (fractional)
Li 0.0000 0.0000 0.0000  4 Ir 2.81, 4 Hf 2.81
Hf 0.2500 0.2500 0.2500  4 Sn 2.81, 4 Li 2.81
Sn 0.5000 0.5000 0.5000  4 Hf 2.81, 4 Ir 2.81
Ir 0.7500 0.7500 0.7500  4 Sn 2.81, 4 Li 2.81

Results
M_tot: 0.00 μB per atom
VASP energy: -25.56 eV/f.u.


# 3
An optimized crystal structure of LuHfMgIr. Source: the Open Quantum Materials Database, functional PBE-GGA.

a = 4.7545 Å, b = 4.7545 Å, c = 4.7545 Å
α = 60.00°, β = 60.00°, γ = 60.00°
With the nearest neighbours (Å) after each atom.
Element x y z (fractional)
Lu 0.0000 0.0000 0.0000  4 Mg 2.91, 4 Hf 2.91
Hf 0.2500 0.2500 0.2500  4 Ir 2.91, 4 Lu 2.91
Mg 0.7500 0.7500 0.7500  4 Ir 2.91, 4 Lu 2.91
Ir 0.5000 0.5000 0.5000  4 Mg 2.91, 4 Hf 2.91

Results
M_tot: 0.00 μB per atom
VASP energy: -26.15 eV/f.u.


# 4
An optimized crystal structure of LuHfMgIr. Source: the Open Quantum Materials Database, functional PBE-GGA.

a = 4.8159 Å, b = 4.8159 Å, c = 4.8159 Å
α = 60.00°, β = 60.00°, γ = 60.00°
With the nearest neighbours (Å) after each atom.
Element x y z (fractional)
Lu 0.0000 0.0000 0.0000  4 Mg 2.95, 4 Ir 2.95
Hf 0.5000 0.5000 0.5000  4 Mg 2.95, 4 Ir 2.95
Mg 0.7500 0.7500 0.7500  4 Hf 2.95, 4 Lu 2.95
Ir 0.2500 0.2500 0.2500  4 Hf 2.95, 4 Lu 2.95

Results
M_tot: 0.00 μB per atom
VASP energy: -26.58 eV/f.u.


# 5
An optimized crystal structure of HfMgIr2. Source: the Open Quantum Materials Database, functional PBE-GGA.

a = 4.5471 Å, b = 4.5471 Å, c = 4.5471 Å
α = 60.00°, β = 60.00°, γ = 60.00°
With the nearest neighbours (Å) after each atom.
Element x y z (fractional)
Hf 0.0000 0.0000 0.0000  4 Mg 2.78, 4 Ir 2.78
Mg 0.7500 0.7500 0.7500  4 Hf 2.78, 4 Ir 2.78
Ir 0.2500 0.2500 0.2500  4 Hf 2.78, 4 Ir 2.78
Ir 0.5000 0.5000 0.5000  4 Mg 2.78, 4 Ir 2.78

Results
M_tot: 0.00 μB per atom
VASP energy: -29.98 eV/f.u.


# 6
An optimized crystal structure of HfMgIr2. Source: the Open Quantum Materials Database, functional PBE-GGA.

a = 4.4219 Å, b = 4.4219 Å, c = 8.4971 Å
α = 90.00°, β = 90.00°, γ = 120.00°
With the nearest neighbours (Å) after each atom.
Element x y z (fractional)
Hf 0.0000 0.0000 0.0000  6 Ir 2.70
Hf 0.0000 0.0000 0.5000  6 Ir 2.70
Mg 0.3333 0.6667 0.2500  8 Ir 2.84-3.00
Mg 0.6667 0.3333 0.7500  8 Ir 2.84-3.00
Ir 0.3333 0.6667 0.6027  1 Ir 2.50, 3 Hf 2.70
Ir 0.3333 0.6667 0.8973  1 Ir 2.50, 3 Hf 2.70
Ir 0.6667 0.3333 0.1027  1 Ir 2.50, 3 Hf 2.70
Ir 0.6667 0.3333 0.3973  1 Ir 2.50, 3 Hf 2.70

Results
M_tot: 0.00 μB per atom
VASP energy: -31.39 eV/f.u.


# 7
An optimized crystal structure of Hf2MgIr. Source: the Open Quantum Materials Database, functional PBE-GGA.

a = 4.6989 Å, b = 4.6989 Å, c = 4.6989 Å
α = 60.00°, β = 60.00°, γ = 60.00°
With the nearest neighbours (Å) after each atom.
Element x y z (fractional)
Hf 0.0000 0.0000 0.0000  4 Ir 2.88, 4 Hf 2.88
Hf 0.2500 0.2500 0.2500  4 Mg 2.88, 4 Hf 2.88
Mg 0.5000 0.5000 0.5000  4 Hf 2.88, 4 Ir 2.88
Ir 0.7500 0.7500 0.7500  4 Mg 2.88, 4 Hf 2.88

Results
M_tot: 0.24 μB per atom
VASP energy: -30.97 eV/f.u.


# 8
An optimized crystal structure of HfMg2Ir. Source: the Open Quantum Materials Database, functional PBE-GGA.

a = 4.6438 Å, b = 4.6438 Å, c = 4.6438 Å
α = 60.00°, β = 60.00°, γ = 60.00°
With the nearest neighbours (Å) after each atom.
Element x y z (fractional)
Hf 0.0000 0.0000 0.0000  4 Ir 2.84, 4 Mg 2.84
Mg 0.2500 0.2500 0.2500  4 Hf 2.84, 4 Mg 2.84
Mg 0.5000 0.5000 0.5000  4 Ir 2.84, 4 Mg 2.84
Ir 0.7500 0.7500 0.7500  4 Hf 2.84, 4 Mg 2.84

Results
M_tot: 0.00 μB per atom
VASP energy: -23.43 eV/f.u.


# 9
An optimized crystal structure of HfMgIr2. Source: the Open Quantum Materials Database, functional PBE-GGA.

a = 4.5264 Å, b = 4.5264 Å, c = 7.7485 Å
α = 90.00°, β = 90.00°, γ = 120.00°
With the nearest neighbours (Å) after each atom.
Element x y z (fractional)
Hf 0.0000 0.0000 0.2500  3 Mg 2.61, 6 Ir 2.91
Hf 0.0000 0.0000 0.7500  3 Mg 2.61, 6 Ir 2.91
Mg 0.3333 0.6667 0.2500  2 Ir 2.59, 3 Hf 2.61
Mg 0.6667 0.3333 0.7500  2 Ir 2.59, 3 Hf 2.61
Ir 0.3333 0.6667 0.5840  1 Ir 2.57, 1 Mg 2.59
Ir 0.3333 0.6667 0.9160  1 Ir 2.57, 1 Mg 2.59
Ir 0.6667 0.3333 0.0840  1 Ir 2.57, 1 Mg 2.59
Ir 0.6667 0.3333 0.4160  1 Ir 2.57, 1 Mg 2.59

Results
M_tot: 0.00 μB per atom
VASP energy: -28.74 eV/f.u.


# 10
An optimized crystal structure of HfMg2Ir. Source: the Open Quantum Materials Database, functional PBE-GGA.

a = 4.6438 Å, b = 4.6438 Å, c = 4.6438 Å
α = 60.00°, β = 60.00°, γ = 60.00°
With the nearest neighbours (Å) after each atom.
Element x y z (fractional)
Hf 0.0000 0.0000 0.0000  4 Mg 2.84, 4 Ir 2.84
Mg 0.5000 0.5000 0.5000  4 Mg 2.84, 4 Ir 2.84
Mg 0.7500 0.7500 0.7500  4 Mg 2.84, 4 Hf 2.84
Ir 0.2500 0.2500 0.2500  4 Hf 2.84, 4 Mg 2.84

Results
M_tot: 0.00 μB per atom
VASP energy: -23.43 eV/f.u.


# 11
An optimized crystal structure of HfMgIr2. Source: the Open Quantum Materials Database, functional PBE-GGA.

a = 4.3370 Å, b = 4.3370 Å, c = 8.5986 Å
α = 90.00°, β = 90.00°, γ = 120.00°
With the nearest neighbours (Å) after each atom.
Element x y z (fractional)
Hf 0.3333 0.6667 0.2500  8 Ir 2.80-3.04
Hf 0.6667 0.3333 0.7500  8 Ir 2.80-3.04
Mg 0.0000 0.0000 0.0000  6 Ir 2.66
Mg 0.0000 0.0000 0.5000  6 Ir 2.66
Ir 0.3333 0.6667 0.6030  1 Ir 2.53, 3 Mg 2.66, 3 Hf 2.80
Ir 0.3333 0.6667 0.8970  1 Ir 2.53, 3 Mg 2.66, 3 Hf 2.80
Ir 0.6667 0.3333 0.1030  1 Ir 2.53, 3 Mg 2.66, 3 Hf 2.80
Ir 0.6667 0.3333 0.3970  1 Ir 2.53, 3 Mg 2.66, 3 Hf 2.80

Results
M_tot: 0.00 μB per atom
VASP energy: -31.52 eV/f.u.


# 12
An optimized crystal structure of YHfMgIr. Source: the Open Quantum Materials Database, functional PBE-GGA.

a = 4.8723 Å, b = 4.8723 Å, c = 4.8723 Å
α = 60.00°, β = 60.00°, γ = 60.00°
With the nearest neighbours (Å) after each atom.
Element x y z (fractional)
Y 0.0000 0.0000 0.0000  4 Mg 2.98, 4 Ir 2.98
Hf 0.5000 0.5000 0.5000  4 Mg 2.98, 4 Ir 2.98
Mg 0.7500 0.7500 0.7500  4 Hf 2.98, 4 Y 2.98
Ir 0.2500 0.2500 0.2500  4 Hf 2.98, 4 Y 2.98

Results
M_tot: 0.00 μB per atom
VASP energy: -28.22 eV/f.u.


# 13
An optimized crystal structure of YHfMgIr. Source: the Open Quantum Materials Database, functional PBE-GGA.

a = 4.7932 Å, b = 4.7932 Å, c = 4.7932 Å
α = 60.00°, β = 60.00°, γ = 60.00°
With the nearest neighbours (Å) after each atom.
Element x y z (fractional)
Y 0.0000 0.0000 0.0000  4 Hf 2.94, 4 Mg 2.94
Hf 0.2500 0.2500 0.2500  4 Ir 2.94, 4 Y 2.94
Mg 0.7500 0.7500 0.7500  4 Ir 2.94, 4 Y 2.94
Ir 0.5000 0.5000 0.5000  4 Mg 2.94, 4 Hf 2.94

Results
M_tot: 0.00 μB per atom
VASP energy: -27.91 eV/f.u.


# 14
An optimized crystal structure of HfMgZn2Ir4. Source: the Open Quantum Materials Database, functional PBE-GGA.

a = 4.4074 Å, b = 4.4074 Å, c = 6.2022 Å
α = 90.00°, β = 90.00°, γ = 90.00°
With the nearest neighbours (Å) after each atom.
Element x y z (fractional)
Hf 0.0000 0.0000 0.0000  8 Ir 2.72
Mg 0.5000 0.5000 0.5000  8 Ir 2.67
Zn 0.0000 0.0000 0.5000  8 Ir 2.67
Zn 0.5000 0.5000 0.0000  8 Ir 2.72
Ir 0.0000 0.5000 0.2562  2 Mg 2.67, 4 Zn 2.67-2.72, 2 Hf 2.72
Ir 0.0000 0.5000 0.7438  2 Mg 2.67, 4 Zn 2.67-2.72, 2 Hf 2.72
Ir 0.5000 0.0000 0.2562  2 Mg 2.67, 4 Zn 2.67-2.72, 2 Hf 2.72
Ir 0.5000 0.0000 0.7438  2 Mg 2.67, 4 Zn 2.67-2.72, 2 Hf 2.72

Results
M_tot: 0.00 μB per atom
VASP energy: -53.46 eV/f.u.